VASP calculation (PBE-GGA) on KNaB2 after structural relaxation.

CIF file:
```
data_KNaB2
_symmetry_space_group_name_H-M 'I 41/a m d'
_symmetry_Int_Tables_number 141
_cell_length_a 3.675
_cell_length_b 3.675
_cell_length_c 19.015
_cell_angle_alpha 90.00
_cell_angle_beta 90.00
_cell_angle_gamma 90.00
loop_
_symmetry_equiv_pos_as_xyz
'x,y,z'
'-x,-y,-z'
'-y+1/4,x+3/4,z+1/4'
'y+1/4,-x+3/4,-z+1/4'
'-x+1/2,-y,z+1/2'
'x+1/2,y,-z+1/2'
'y+1/4,-x+1/4,z+3/4'
'-y+1/4,x+1/4,-z+3/4'
'x,-y,-z'
'-x,y,z'
'-y+1/4,-x+1/4,-z+3/4'
'y+1/4,x+1/4,z+3/4'
'-x+1/2,y,-z+1/2'
'x+1/2,-y,z+1/2'
'y+1/4,x+3/4,-z+1/4'
'-y+1/4,-x+3/4,z+1/4'
'x+1/2,y+1/2,z+1/2'
'-x+1/2,-y+1/2,-z+1/2'
'-y+3/4,x+1/4,z+3/4'
'y+3/4,-x+1/4,-z+3/4'
'-x,-y+1/2,z'
'x,y+1/2,-z'
'y+3/4,-x+3/4,z+1/4'
'-y+3/4,x+3/4,-z+1/4'
'x+1/2,-y+1/2,-z+1/2'
'-x+1/2,y+1/2,z+1/2'
'-y+3/4,-x+3/4,-z+1/4'
'y+3/4,x+3/4,z+1/4'
'-x,y+1/2,-z'
'x,-y+1/2,z'
'y+3/4,x+1/4,-z+3/4'
'-y+3/4,-x+1/4,z+3/4'
loop_
_atom_site_label
_atom_site_type_symbol
_atom_site_fract_x
_atom_site_fract_y
_atom_site_fract_z
_atom_site_occupancy
K1 K 0.000 0.250 0.375 1
Na1 Na 0.000 0.250 0.875 1
B1 B 0.000 0.000 0.000 1
```

Calculated values
Polymorph energy (0 for the lowest one)   0 meV/atom
ΔE_f   1.10 eV per atom
Density of states at the Fermi level   3.8 states/eV/cell
Crystal system   tetragonal
M_tot   0.00 μB per formula unit